# 1
Compound: BeNbCdAs2
Source: Alexandria
Functional: PBE-GGA
Structure: optimized geometry

a = 4.499 Å, b = 4.499 Å, c = 4.618 Å
α = 90.00°, β = 90.00°, γ = 90.00°
Positions (direct):
Be1 0.000 0.000 0.000
Nb1 0.500 0.500 0.500
Cd1 0.000 0.000 0.500
As1 0.000 0.500 0.000
As2 0.500 0.000 0.000

Its formation energy is 0.695 eV per atom. As for the density of states at the Fermi level: 4.0 states/eV/cell. As for the space group: P4/mmm.



# 2
Compound: LiPtI
Source: Alexandria
Functional: PBE-GGA
Structure: optimized geometry

a = 5.679 Å, b = 8.409 Å, c = 5.491 Å
α = 90.00°, β = 90.00°, γ = 90.00°
Positions (direct):
Li1 0.044 0.250 0.148
Li2 0.456 0.750 0.648
Li3 0.544 0.250 0.352
Li4 0.956 0.750 0.852
Pt1 0.239 0.750 0.234
Pt2 0.261 0.250 0.734
Pt3 0.739 0.750 0.266
Pt4 0.761 0.250 0.766
I1 0.000 0.000 0.500
I2 0.000 0.500 0.500
I3 0.500 0.000 0.000
I4 0.500 0.500 0.000

As for the density of states at the Fermi level: 4.2 states/eV/cell. As for the space group: Pnma. For the uncorrected formation energy, the calculation gives -0.238 eV/atom.



Q: What is the formula in the first record?
A: BeNbCdAs2